Pm2MgCo3H12 after structural relaxation, computed with PBE-GGA.

Calculated values
calculated density	5.79	Mg/m³
uncorrected energy	-4.278	eV/atom
DOS(E_F)	8.8	states/eV/cell

a b c (Å): 5.7709 5.7709 5.7709
angles (deg): 62.78 62.78 62.78
Element x y z (fractional)
Pm 0.1174 0.1174 0.1174
Pm 0.8826 0.8826 0.8826
Mg 0.5000 0.5000 0.5000
Co 0.0000 0.5000 0.5000
Co 0.5000 0.0000 0.5000
Co 0.5000 0.5000 0.0000
H 0.1038 0.6174 0.6174
H 0.1915 0.1915 0.6242
H 0.1915 0.6242 0.1915
H 0.3758 0.8085 0.8085
H 0.3826 0.3826 0.8962
H 0.3826 0.8962 0.3826
H 0.6174 0.1038 0.6174
H 0.6174 0.6174 0.1038
H 0.6242 0.1915 0.1915
H 0.8085 0.3758 0.8085
H 0.8085 0.8085 0.3758
H 0.8962 0.3826 0.3826